Below is crystalline CaInAs at its relaxed geometry, with properties calculated at the GGA-PBEsol level.

abc: 5.217 5.255 10.509
angles: 90.00 90.00 90.00
Space group Fmm2 (No. 42)
Asymmetric unit:
Ca  0.000  0.000  0.000
In  0.000  0.000  0.299
As  0.000  0.000  0.680

Properties
DFT formation energy: -0.492 eV per atom
Total DFT energy (no corrections): -46.80 eV for the cell shown

Below is crystalline Ca2InAsRu at its relaxed geometry, with properties calculated at the GGA-PBEsol level.

abc: 5.553 5.553 4.797
angles: 90.00 90.00 90.00
Space group P4/mmm (No. 123)
Asymmetric unit:
Ca  0.000  0.500  0.000
In  0.000  0.000  0.000
As  0.500  0.500  0.500
Ru  0.000  0.000  0.500

Properties
DFT formation energy: 0.676 eV per atom
Total DFT energy (no corrections): -19.15 eV for the cell shown

Below is crystalline CaAs3Ir at its relaxed geometry, with properties calculated at the GGA-PBEsol level.

abc: 4.877 4.877 4.877
angles: 90.00 90.00 90.00
Space group Pm-3m (No. 221)
Asymmetric unit:
Ca  0.000  0.000  0.000
As  0.000  0.500  0.500
Ir  0.500  0.500  0.500

Properties
DFT formation energy: 0.089 eV per atom
Total DFT energy (no corrections): -26.83 eV for the cell shown

Below is crystalline Ca2AsIr at its relaxed geometry, with properties calculated at the GGA-PBEsol level.

abc: 6.191 7.875 3.275
angles: 90.00 90.00 90.00
Space group Cmmm (No. 65)
Asymmetric unit:
Ca  0.250  0.250  0.000
As  0.000  0.000  0.500
Ir  0.000  0.500  0.500

Properties
DFT formation energy: -0.460 eV per atom
Total DFT energy (no corrections): -42.07 eV for the cell shown

Below is crystalline CaAsIr2 at its relaxed geometry, with properties calculated at the GGA-PBEsol level.

abc: 2.866 4.262 5.777
angles: 90.00 104.25 90.00
Space group Pm (No. 6)
Asymmetric unit:
Ca  0.000  0.000  0.000
As  0.360  0.500  0.720
Ir  0.251  0.000  0.495
Ir  0.667  0.500  0.327

Properties
DFT formation energy: -0.170 eV per atom
Total DFT energy (no corrections): -27.57 eV for the cell shown

Below is crystalline CaAsIr2 at its relaxed geometry, with properties calculated at the GGA-PBEsol level.

abc: 2.871 4.409 5.347
angles: 90.00 100.69 90.00
Space group P2/m (No. 10)
Asymmetric unit:
Ca  0.000  0.000  0.000
As  0.500  0.000  0.500
Ir  0.357  0.500  0.723

Properties
DFT formation energy: -0.040 eV per atom
Total DFT energy (no corrections): -27.05 eV for the cell shown